First-principles (meta-GGA SCAN) data for a PBEsol-optimized structure of Fe2SiIr, as listed in Alexandria via LeMat-Bulk. Values from VASP.

V: 11.82 Å³ per atom
Fermi-level density of states: 1.967 states/eV/f.u.
DFT total energy: -29.744 eV per atom
raw formation energy: -0.400 eV per atom

Cell and atoms, written as Quantum ESPRESSO input:
```
&SYSTEM
  ibrav = 0, nat = 4, ntyp = 3
/
ATOMIC_SPECIES
Fe 55.84 Fe.upf
Si 28.09 Si.upf
Ir 192.22 Ir.upf
ATOMIC_POSITIONS angstrom
Fe 0.000 0.000 1.957
Fe 0.000 0.000 6.377
Si 1.393 0.000 0.000
Ir 0.000 2.037 0.000
CELL_PARAMETERS angstrom
-1.393 2.037 4.167
1.393 -2.037 4.167
1.393 2.037 -4.167
```